# 1
A relaxed structure of Mo2Ir4Ru, computed with PBE.

## Properties
* total magnetization: 0.70 μB/f.u.
* crystal system: tetragonal
* VASP energy: -0.673 Ry per atom
* Fermi-level density of states: 7.48 states/eV/f.u.

abc: 7.5171 7.5171 8.3262
angles: 90.00 90.00 90.00
Space group I4/mcm (No. 140)
Inequivalent atoms, fractional coordinates:
1 Mo 0.1485 0.3515 0.0000
2 Ir 0.1486 0.3514 0.3359
3 Ru 0.0000 0.0000 0.2500

---

# 2
A relaxed structure of Mo2IrRu, computed with PBE.

## Properties
* total magnetization: 0.00 μB/f.u.
* crystal system: tetragonal
* VASP energy: -0.742 Ry per atom
* Fermi-level density of states: 3.84 states/eV/f.u.

abc: 3.9163 3.9163 7.7966
angles: 90.00 90.00 90.00
Space group I4/mmm (No. 139)
Inequivalent atoms, fractional coordinates:
1 Mo 0.0000 0.5000 0.2500
2 Ir 0.0000 0.0000 0.0000
3 Ru 0.0000 0.0000 0.5000

---

# 3
A relaxed structure of Mo2IrRu, computed with PBE.

## Properties
* total magnetization: 0.00 μB/f.u.
* crystal system: orthorhombic
* VASP energy: -0.742 Ry per atom
* Fermi-level density of states: 3.85 states/eV/f.u.

abc: 2.7910 4.4520 4.8112
angles: 90.00 90.00 90.00
Space group Pmm2 (No. 25)
Inequivalent atoms, fractional coordinates:
1 Mo 0.0000 0.0000 0.0000
2 Mo 0.0000 0.5000 0.3481
3 Ir 0.5000 0.0000 0.4983
4 Ru 0.5000 0.5000 0.8549

---

# 4
A relaxed structure of Mo5Ir6Ru, computed with PBE.

## Properties
* total magnetization: 0.00 μB/f.u.
* crystal system: orthorhombic
* VASP energy: -0.734 Ry per atom
* Fermi-level density of states: 7.67 states/eV/f.u.

abc: 3.9032 7.8286 11.6937
angles: 90.00 90.00 90.00
Space group Immm (No. 71)
Inequivalent atoms, fractional coordinates:
1 Mo 0.0000 0.0000 0.0000
2 Mo 0.0000 0.0000 0.3341
3 Mo 0.0000 0.5000 0.3343
4 Ir 0.0000 0.2495 0.5000
5 Ir 0.0000 0.2510 0.1662
6 Ru 0.0000 0.5000 0.0000

---

# 5
A relaxed structure of Mo2Ir6Ru, computed with PBE.

## Properties
* total magnetization: 0.00 μB/f.u.
* crystal system: monoclinic
* VASP energy: -0.701 Ry per atom
* Fermi-level density of states: 8.47 states/eV/f.u.

abc: 11.6701 3.8820 6.1523
angles: 90.00 108.45 90.00
Space group C2/m (No. 12)
Inequivalent atoms, fractional coordinates:
1 Mo 0.0568 0.0000 0.3267
2 Ir 0.1078 0.5000 0.6639
3 Ir 0.1648 0.0000 0.0036
4 Ir 0.2185 0.5000 0.3330
5 Ru 0.0000 0.5000 0.0000

---

# 6
A relaxed structure of MoIr2Ru3, computed with PBE.

## Properties
* total magnetization: 0.00 μB/f.u.
* crystal system: monoclinic
* VASP energy: -0.657 Ry per atom
* Fermi-level density of states: 7.45 states/eV/f.u.

abc: 5.2415 2.6345 6.8115
angles: 90.00 102.20 90.00
Space group P2/m (No. 10)
Inequivalent atoms, fractional coordinates:
1 Mo 0.0000 0.0000 0.0000
2 Ir 0.3244 0.5000 0.3288
3 Ru 0.1679 0.5000 0.6724
4 Ru 0.5000 0.5000 0.0000

---

# 7
A relaxed structure of Mo5Ir4Ru, computed with PBE.

## Properties
* total magnetization: 0.00 μB/f.u.
* crystal system: tetragonal
* VASP energy: -0.743 Ry per atom
* Fermi-level density of states: 8.04 states/eV/f.u.

abc: 2.7636 2.7636 19.6437
angles: 90.00 90.00 90.00
Space group P4/mmm (No. 123)
Inequivalent atoms, fractional coordinates:
1 Mo 0.0000 0.0000 0.0000
2 Mo 0.0000 0.0000 0.2007
3 Mo 0.0000 0.0000 0.4016
4 Ir 0.5000 0.5000 0.1001
5 Ir 0.5000 0.5000 0.3001
6 Ru 0.5000 0.5000 0.5000

---

# 8
A relaxed structure of Mo2Ir3Ru3, computed with PBE.

## Properties
* total magnetization: 0.00 μB/f.u.
* crystal system: orthorhombic
* VASP energy: -0.713 Ry per atom
* Fermi-level density of states: 3.90 states/eV/f.u.

abc: 3.8707 3.8920 7.7063
angles: 90.00 90.00 90.00
Space group Pmmm (No. 47)
Inequivalent atoms, fractional coordinates:
1 Mo 0.0000 0.0000 0.2474
2 Ir 0.0000 0.5000 0.5000
3 Ir 0.5000 0.5000 0.2500
4 Ru 0.0000 0.5000 0.0000
5 Ru 0.5000 0.0000 0.0000
6 Ru 0.5000 0.0000 0.5000

---

# 9
A relaxed structure of Mo4IrRu5, computed with PBE.

## Properties
* total magnetization: 0.00 μB/f.u.
* crystal system: monoclinic
* VASP energy: -0.727 Ry per atom
* Fermi-level density of states: 10.21 states/eV/f.u.

abc: 14.0652 3.9020 5.4841
angles: 90.00 101.83 90.00
Space group C2/m (No. 12)
Inequivalent atoms, fractional coordinates:
1 Mo 0.0987 0.0000 0.3092
2 Mo 0.2039 0.5000 0.1012
3 Ir 0.0000 0.5000 0.0000
4 Ru 0.0000 0.5000 0.5000
5 Ru 0.0993 0.0000 0.7973
6 Ru 0.1979 0.5000 0.5983

---

# 10
A relaxed structure of MoIr6Ru2, computed with PBE.

## Properties
* total magnetization: 0.00 μB/f.u.
* crystal system: monoclinic
* VASP energy: -0.663 Ry per atom
* Fermi-level density of states: 7.90 states/eV/f.u.

abc: 9.0013 12.0058 5.0798
angles: 90.00 98.96 90.00
Space group C2/c (No. 15)
Inequivalent atoms, fractional coordinates:
1 Mo 0.0000 0.0694 0.2500
2 Ir 0.0491 0.3161 0.0150
3 Ir 0.1496 0.1225 0.8172
4 Ir 0.2471 0.1736 0.3197
5 Ru 0.1369 0.4843 0.3721

---

# 11
A relaxed structure of Mo9Ir11Ru4, computed with PBE.

## Properties
* total magnetization: 0.00 μB/f.u.
* crystal system: orthorhombic
* VASP energy: -0.722 Ry per atom
* Fermi-level density of states: 19.83 states/eV/f.u.

abc: 2.7552 20.6263 12.7260
angles: 90.00 90.00 90.00
Space group Amm2 (No. 38)
Inequivalent atoms, fractional coordinates:
1 Mo 0.0000 0.0000 0.0000
2 Mo 0.0000 0.0946 0.4377
3 Mo 0.0000 0.0946 0.6632
4 Mo 0.0000 0.2125 0.1529
5 Mo 0.0000 0.2177 0.9394
6 Ir 0.5000 0.0000 0.3410
7 Ir 0.5000 0.0000 0.5558
8 Ir 0.5000 0.0000 0.7807
9 Ir 0.5000 0.1172 0.0460
10 Ir 0.5000 0.1834 0.3291
11 Ir 0.5000 0.1885 0.5479
12 Ir 0.5000 0.1901 0.7618
13 Ru 0.0000 0.0870 0.2219
14 Ru 0.0000 0.0980 0.8697

---

# 12
A relaxed structure of Mo2IrRu, computed with PBE.

## Properties
* total magnetization: 0.60 μB/f.u.
* crystal system: cubic
* VASP energy: -0.715 Ry per atom
* Fermi-level density of states: 7.54 states/eV/f.u.

abc: 6.2445 6.2445 6.2445
angles: 90.00 90.00 90.00
Space group F-43m (No. 216)
Inequivalent atoms, fractional coordinates:
1 Mo 0.0000 0.0000 0.0000
2 Mo 0.2500 0.2500 0.2500
3 Ir 0.2500 0.2500 0.7500
4 Ru 0.0000 0.0000 0.5000

---

# 13
A relaxed structure of Mo2IrRu, computed with PBE.

## Properties
* total magnetization: 0.90 μB/f.u.
* crystal system: cubic
* VASP energy: -0.707 Ry per atom
* Fermi-level density of states: 7.67 states/eV/f.u.

abc: 6.2612 6.2612 6.2612
angles: 90.00 90.00 90.00
Space group Fm-3m (No. 225)
Inequivalent atoms, fractional coordinates:
1 Mo 0.2500 0.2500 0.2500
2 Ir 0.0000 0.0000 0.0000
3 Ru 0.0000 0.0000 0.5000

---

# 14
A relaxed structure of Mo3Ir2Ru6, computed with PBE.

## Properties
* total magnetization: 0.00 μB/f.u.
* crystal system: triclinic
* VASP energy: -0.701 Ry per atom
* Fermi-level density of states: 9.95 states/eV/f.u.

abc: 4.7602 6.3418 6.4996
angles: 104.35 108.78 107.69
Space group P-1 (No. 2)
Inequivalent atoms, fractional coordinates:
1 Mo 0.0000 0.0000 0.0000
2 Mo 0.2740 0.2725 0.4604
3 Ir 0.1925 0.8106 0.3693
4 Ru 0.2369 0.6437 0.7446
5 Ru 0.2557 0.4585 0.0732
6 Ru 0.3539 0.0966 0.7972

---

# 15
A relaxed structure of Mo2IrRu, computed with PBE.

## Properties
* total magnetization: 0.00 μB/f.u.
* crystal system: trigonal
* VASP energy: -0.727 Ry per atom
* Fermi-level density of states: 3.37 states/eV/f.u.

abc: 2.7637 2.7637 27.4968
angles: 90.00 90.00 120.00
Space group R3m (No. 160, hexagonal axes)
Inequivalent atoms, fractional coordinates:
1 Mo 0.0000 0.0000 0.0000
2 Mo 0.0000 0.0000 0.2423
3 Ir 0.0000 0.0000 0.4968
4 Ru 0.0000 0.0000 0.7451

---

# 16
A relaxed structure of MoIrRu3, computed with PBE.

## Properties
* total magnetization: 2.33 μB/f.u.
* crystal system: cubic
* VASP energy: -0.551 Ry per atom
* Fermi-level density of states: 8.83 states/eV/f.u.

abc: 4.6488 4.6488 4.6488
angles: 90.00 90.00 90.00
Space group Pm-3m (No. 221)
Inequivalent atoms, fractional coordinates:
1 Mo 0.0000 0.0000 0.0000
2 Ir 0.5000 0.5000 0.5000
3 Ru 0.0000 0.5000 0.5000

---

# 17
A relaxed structure of Mo2IrRu, computed with PBE.

## Properties
* total magnetization: 0.00 μB/f.u.
* crystal system: monoclinic
* VASP energy: -0.734 Ry per atom
* Fermi-level density of states: 2.97 states/eV/f.u.

abc: 9.2357 2.7535 4.7845
angles: 90.00 99.94 90.00
Space group C2/m (No. 12)
Inequivalent atoms, fractional coordinates:
1 Mo 0.2490 0.0000 0.2507
2 Ir 0.0000 0.5000 0.0000
3 Ru 0.0000 0.0000 0.5000

---

# 18
A relaxed structure of Mo3Ir2Ru3, computed with PBE.

## Properties
* total magnetization: 0.00 μB/f.u.
* crystal system: orthorhombic
* VASP energy: -0.727 Ry per atom
* Fermi-level density of states: 7.26 states/eV/f.u.

abc: 3.8621 3.8940 7.8305
angles: 90.00 90.00 90.00
Space group Pmmm (No. 47)
Inequivalent atoms, fractional coordinates:
1 Mo 0.0000 0.0000 0.0000
2 Mo 0.0000 0.5000 0.2545
3 Ir 0.5000 0.0000 0.2531
4 Ru 0.0000 0.0000 0.5000
5 Ru 0.5000 0.5000 0.0000
6 Ru 0.5000 0.5000 0.5000

---

# 19
A relaxed structure of Mo2IrRu, computed with PBE.

## Properties
* total magnetization: 0.00 μB/f.u.
* crystal system: tetragonal
* VASP energy: -0.730 Ry per atom
* Fermi-level density of states: 2.83 states/eV/f.u.

abc: 2.7618 2.7618 7.9208
angles: 90.00 90.00 90.00
Space group P4mm (No. 99)
Inequivalent atoms, fractional coordinates:
1 Mo 0.0000 0.0000 0.0000
2 Mo 0.5000 0.5000 0.2734
3 Ir 0.5000 0.5000 0.7597
4 Ru 0.0000 0.0000 0.5112

---

# 20
A relaxed structure of Mo2IrRu, computed with PBE.

## Properties
* total magnetization: 0.00 μB/f.u.
* crystal system: orthorhombic
* VASP energy: -0.741 Ry per atom
* Fermi-level density of states: 4.21 states/eV/f.u.

abc: 2.7648 3.8998 5.5459
angles: 90.00 90.00 90.00
Space group Pmmm (No. 47)
Inequivalent atoms, fractional coordinates:
1 Mo 0.0000 0.0000 0.2471
2 Ir 0.5000 0.5000 0.5000
3 Ru 0.5000 0.5000 0.0000

---

# 21
A relaxed structure of Mo2Ir3Ru4, computed with PBE.

## Properties
* total magnetization: 0.00 μB/f.u.
* crystal system: monoclinic
* VASP energy: -0.695 Ry per atom
* Fermi-level density of states: 8.39 states/eV/f.u.

abc: 8.1628 9.0695 7.2225
angles: 90.00 90.47 90.00
Space group C2/c (No. 15)
Inequivalent atoms, fractional coordinates:
1 Mo 0.1623 0.1305 0.4241
2 Ir 0.0000 0.0896 0.7500
3 Ir 0.1652 0.4087 0.2465
4 Ru 0.0054 0.3653 0.5681
5 Ru 0.1650 0.1414 0.0666

---

# 22
A relaxed structure of MoIr4Ru, computed with PBE.

## Properties
* total magnetization: 0.00 μB/f.u.
* crystal system: cubic
* VASP energy: -0.652 Ry per atom
* Fermi-level density of states: 10.08 states/eV/f.u.

abc: 7.2102 7.2102 7.2102
angles: 90.00 90.00 90.00
Space group F-43m (No. 216)
Inequivalent atoms, fractional coordinates:
1 Mo 0.0000 0.0000 0.0000
2 Ir 0.1247 0.1247 0.3753
3 Ru 0.2500 0.2500 0.7500

---

# 23
A relaxed structure of MoIrRu3, computed with PBE.

## Properties
* total magnetization: 2.54 μB/f.u.
* crystal system: cubic
* VASP energy: -0.557 Ry per atom
* Fermi-level density of states: 5.93 states/eV/f.u.

abc: 4.5706 4.5706 4.5706
angles: 90.00 90.00 90.00
Space group Pm-3m (No. 221)
Inequivalent atoms, fractional coordinates:
1 Mo 0.0000 0.0000 0.0000
2 Ir 0.5000 0.5000 0.5000
3 Ru 0.0000 0.0000 0.5000

---

# 24
A relaxed structure of Mo2IrRu, computed with PBE.

## Properties
* total magnetization: 0.00 μB/f.u.
* crystal system: orthorhombic
* VASP energy: -0.741 Ry per atom
* Fermi-level density of states: 4.34 states/eV/f.u.

abc: 5.5313 7.8041 2.7703
angles: 90.00 90.00 90.00
Space group Cmmm (No. 65)
Inequivalent atoms, fractional coordinates:
1 Mo 0.2500 0.2500 0.0000
2 Ir 0.0000 0.0000 0.5000
3 Ru 0.0000 0.5000 0.5000